The following is a DFT calculation (PBE) of a relaxed Tl5Cr4 crystal.

CIF file:
```
data_Tl5Cr4
_symmetry_space_group_name_H-M 'P 63/m c m'
_symmetry_Int_Tables_number 193
_symmetry_space_group_name_Hall '-P 6c 2'
_cell_length_a 8.6373
_cell_length_b 8.6373
_cell_length_c 6.1429
_cell_angle_alpha 90.00
_cell_angle_beta 90.00
_cell_angle_gamma 120.00
loop_
_atom_site_label
_atom_site_fract_x
_atom_site_fract_y
_atom_site_fract_z
_atom_site_occupancy
Tl1 0.0000 0.2853 0.2500 1
Tl2 0.3333 0.6667 0.0000 1
Cr1 0.0000 0.0000 0.0000 1
Cr2 0.0000 0.3780 0.7500 1
```

The following is a DFT calculation (PBE) of a relaxed TlCr crystal.

CIF file:
```
data_TlCr
_symmetry_space_group_name_H-M 'P 42/m n m'
_symmetry_Int_Tables_number 136
_symmetry_space_group_name_Hall '-P 4n 2n'
_cell_length_a 5.7155
_cell_length_b 5.7155
_cell_length_c 5.5054
_cell_angle_alpha 90.00
_cell_angle_beta 90.00
_cell_angle_gamma 90.00
loop_
_atom_site_label
_atom_site_fract_x
_atom_site_fract_y
_atom_site_fract_z
_atom_site_occupancy
Tl1 0.1808 0.1808 0.0000 1
Cr1 0.1206 0.1206 0.5000 1
```

The following is a DFT calculation (PBE) of a relaxed TlCr3 crystal.

CIF file:
```
data_TlCr3
_symmetry_space_group_name_H-M 'F m -3 m'
_symmetry_Int_Tables_number 225
_symmetry_space_group_name_Hall '-F 4 2 3'
_cell_length_a 6.3690
_cell_length_b 6.3690
_cell_length_c 6.3690
_cell_angle_alpha 90.00
_cell_angle_beta 90.00
_cell_angle_gamma 90.00
loop_
_atom_site_label
_atom_site_fract_x
_atom_site_fract_y
_atom_site_fract_z
_atom_site_occupancy
Tl1 0.0000 0.0000 0.0000 1
Cr1 0.0000 0.0000 0.5000 1
Cr2 0.2500 0.2500 0.2500 1
```

The following is a DFT calculation (PBE) of a relaxed Tl3VCr crystal.

CIF file:
```
data_Tl3VCr
_symmetry_space_group_name_H-M 'P m -3 m'
_symmetry_Int_Tables_number 221
_symmetry_space_group_name_Hall '-P 4 2 3'
_cell_length_a 5.3327
_cell_length_b 5.3327
_cell_length_c 5.3327
_cell_angle_alpha 90.00
_cell_angle_beta 90.00
_cell_angle_gamma 90.00
loop_
_atom_site_label
_atom_site_fract_x
_atom_site_fract_y
_atom_site_fract_z
_atom_site_occupancy
Tl1 0.0000 0.0000 0.5000 1
V1 0.0000 0.0000 0.0000 1
Cr1 0.5000 0.5000 0.5000 1
```

The following is a DFT calculation (PBE) of a relaxed TlV2Cr crystal.

CIF file:
```
data_TlV2Cr
_symmetry_space_group_name_H-M 'I -4 2 d'
_symmetry_Int_Tables_number 122
_symmetry_space_group_name_Hall 'I -4 2bw'
_cell_length_a 3.7899
_cell_length_b 3.7899
_cell_length_c 19.1467
_cell_angle_alpha 90.00
_cell_angle_beta 90.00
_cell_angle_gamma 90.00
loop_
_atom_site_label
_atom_site_fract_x
_atom_site_fract_y
_atom_site_fract_z
_atom_site_occupancy
Tl1 0.0000 0.0000 0.0000 1
V1 0.2288 0.2500 0.6250 1
Cr1 0.0000 0.0000 0.5000 1
```

The calculation puts the energy above the most stable polymorph in this dataset at 406.0 meV per atom.

The following is a DFT calculation (PBE) of a relaxed TlV2Cr crystal.

CIF file:
```
data_TlV2Cr
_symmetry_space_group_name_H-M 'F m -3 m'
_symmetry_Int_Tables_number 225
_symmetry_space_group_name_Hall '-F 4 2 3'
_cell_length_a 6.3050
_cell_length_b 6.3050
_cell_length_c 6.3050
_cell_angle_alpha 90.00
_cell_angle_beta 90.00
_cell_angle_gamma 90.00
loop_
_atom_site_label
_atom_site_fract_x
_atom_site_fract_y
_atom_site_fract_z
_atom_site_occupancy
Tl1 0.0000 0.0000 0.0000 1
V1 0.2500 0.2500 0.2500 1
Cr1 0.0000 0.0000 0.5000 1
```

The calculation puts the energy above the most stable polymorph in this dataset at 0.0 meV per atom.

| no. | total energy (eV per atom) | V (Å³/atom) |
| --- | --- | --- |
| 1 | -4.92 | 22.0 |
| 2 | -4.88 | 22.5 |
| 3 | -7.25 | 16.1 |
| 4 | -4.25 | 30.3 |
| 5 | -6.64 | 17.2 |
| 6 | -7.04 | 15.7 |